# 1
BaYTa: optimized geometry, GGA-PBEsol. Values from VASP.

Cell and atoms, written as Quantum ESPRESSO input:
```
&SYSTEM
  ibrav = 0, nat = 3, ntyp = 3
/
ATOMIC_SPECIES
Ba 137.33 Ba.upf
Y 88.91 Y.upf
Ta 180.95 Ta.upf
CELL_PARAMETERS angstrom
3.332 0.000 0.000
-1.666 2.885 0.000
0.000 0.000 8.817
ATOMIC_POSITIONS crystal
Ba 0.000 0.000 0.000
Y 0.667 0.333 0.406
Ta 0.333 0.667 0.676
```

energy of formation = 0.741 eV per atom
symmetry = No. 156
ΔE to the lowest computed polymorph = 98 meV/atom
crystal system = trigonal
ρ = 7.98 Mg/m³

# 2
Ba2YTa: optimized geometry, GGA-PBEsol. Values from VASP.

Cell and atoms, written as Quantum ESPRESSO input:
```
&SYSTEM
  ibrav = 0, nat = 4, ntyp = 3
/
ATOMIC_SPECIES
Ba 137.33 Ba.upf
Y 88.91 Y.upf
Ta 180.95 Ta.upf
CELL_PARAMETERS angstrom
3.369 0.000 0.000
0.000 5.376 0.000
0.000 0.000 6.981
ATOMIC_POSITIONS crystal
Ba 0.000 0.000 0.233
Ba 0.000 0.000 0.767
Y 0.500 0.500 0.500
Ta 0.500 0.500 0.000
```

energy of formation = 0.951 eV per atom
symmetry = No. 47
ΔE to the lowest computed polymorph = 67 meV/atom
crystal system = orthorhombic
ρ = 7.15 Mg/m³